Record 1
GGA-PBE K4Dy3VTe8, relaxed; energy relative to the elements, uncorrected = -1.158 eV/atom; VASP energy = -0.1630 Ha/atom
1.0
4.4061 2.5439 8.2455
-4.4061 2.5439 8.2455
0.0000 -5.0878 8.2455
K Dy V Te
4 3 1 8
Direct
0.0000 0.0000 0.0000
0.0000 0.5000 0.5000
0.5000 0.0000 0.5000
0.5000 0.5000 0.0000
0.0000 0.0000 0.5000
0.0000 0.5000 0.0000
0.5000 0.0000 0.0000
0.5000 0.5000 0.5000
0.2372 0.2372 0.2372
0.2533 0.7231 0.7231
0.2769 0.2769 0.7467
0.2769 0.7467 0.2769
0.7231 0.2533 0.7231
0.7231 0.7231 0.2533
0.7467 0.2769 0.2769
0.7628 0.7628 0.7628



Record 2
GGA-PBE ZrRh2W, relaxed; energy of formation from the pure elements = -90 kJ/mol of formula units; VASP energy = -0.3412 Ha/atom; distance to the lowest polymorph of the same formula = 122 meV per atom
1.0
4.7942 0.0000 0.0000
0.0000 4.7942 0.0000
0.0000 0.0000 2.8643
Zr Rh W
1 2 1
Direct
0.0000 0.0000 0.0000
0.0000 0.5000 0.5000
0.5000 0.0000 0.5000
0.5000 0.5000 0.0000



Record 3
GGA-PBE RbTa2AsP, relaxed; energy of formation from the pure elements = 647 kJ/mol of formula units; VASP energy = -0.2060 Ha/atom
1.0
4.8602 0.0000 0.0000
0.0000 4.8602 0.0000
0.0000 0.0000 5.9190
Rb Ta As P
1 2 1 1
Direct
0.0000 0.0000 0.0000
0.0000 0.5000 0.5000
0.5000 0.0000 0.5000
0.0000 0.0000 0.5000
0.5000 0.5000 0.0000



Record 4
GGA-PBE CuAg4Sb, relaxed; energy relative to the elements, uncorrected = 0.262 eV/atom; VASP energy = -0.1106 Ha/atom
1.0
0.0000 3.8940 3.8940
3.8940 0.0000 3.8940
3.8940 3.8940 0.0000
Cu Ag Sb
1 4 1
Direct
0.0000 0.0000 0.0000
0.3745 0.3745 0.3745
0.3745 0.3745 0.8764
0.3745 0.8764 0.3745
0.8764 0.3745 0.3745
0.7500 0.7500 0.7500



| no. | volume (Å³ per cell) |
| --- | --- |
| 1 | 554.5 |
| 2 | 65.8 |
| 3 | 139.8 |
| 4 | 118.1 |